K4Mn3InF12: optimized geometry, GGA+U.

Results
The value obtained for the total energy is -210.0 eV/cell.

a = 8.684 Å, b = 8.684 Å, c = 8.684 Å
α = 90.00°, β = 90.00°, γ = 90.00°
Space group Im-3m (No. 229)
Unique sites:
1 K 0.250 0.250 0.250 [8 per cell]
2 Mn 0.000 0.000 0.500 [6 per cell]
3 In 0.000 0.000 0.000 [2 per cell]
4 F 0.000 0.000 0.261 [12 per cell]
5 F 0.000 0.250 0.500 [12 per cell]